SmNi3 | GGA-PBE | relaxed

Formation enthalpy at 0 K: 0.258 eV per atom

a = 7.667 Å, b = 7.667 Å, c = 7.667 Å
α = 42.82°, β = 42.82°, γ = 42.82°
Each line ends with the local moment (μB).
Positions (direct):
1 Ni 0.500 0.500 0.500  -0.48
2 Ni 0.951 0.366 0.366  -0.23
3 Ni 0.049 0.634 0.634  -0.23
4 Ni 0.634 0.634 0.049  -0.26
5 Sm 0.000 0.000 0.000  0.01
6 Ni 0.366 0.366 0.951  -0.26
7 Ni 0.125 0.125 0.125  -0.14
8 Sm 0.355 0.355 0.355  0.04
9 Ni 0.875 0.875 0.875  -0.14
10 Ni 0.366 0.951 0.366  -0.27
11 Sm 0.645 0.645 0.645  0.04
12 Ni 0.634 0.049 0.634  -0.27

Sm2Ni17 | GGA-PBE | relaxed

Formation enthalpy at 0 K: -0.183 eV per atom

a = 8.312 Å, b = 8.312 Å, c = 8.035 Å
α = 90.00°, β = 90.00°, γ = 120.00°
Each line ends with the local moment (μB).
Positions (direct):
1 Ni 0.672 0.045 0.750  0.43
2 Ni 0.333 0.667 0.103  0.39
3 Ni 0.045 0.374 0.250  0.42
4 Ni 0.045 0.672 0.250  0.42
5 Ni 0.668 0.834 0.980  0.41
6 Ni 0.500 0.000 0.000  0.48
7 Ni 0.328 0.955 0.250  0.43
8 Ni 0.166 0.834 0.520  0.41
9 Sm 0.333 0.667 0.750  -0.07
10 Ni 0.955 0.328 0.750  0.42
11 Sm 0.000 0.000 0.250  -0.07
12 Ni 0.166 0.834 0.980  0.40
13 Ni 0.626 0.955 0.250  0.42
14 Ni 0.332 0.166 0.480  0.41
15 Ni 0.166 0.332 0.980  0.40
16 Ni 0.166 0.332 0.520  0.41
17 Ni 0.668 0.834 0.520  0.41
18 Ni 0.834 0.166 0.480  0.41
19 Sm 0.667 0.333 0.250  -0.07
20 Ni 0.955 0.626 0.750  0.42
21 Ni 0.500 0.500 0.000  0.47
22 Sm 0.000 0.000 0.750  -0.07
23 Ni 0.333 0.667 0.397  0.39
24 Ni 0.834 0.166 0.020  0.40
25 Ni 0.672 0.626 0.750  0.43
26 Ni 0.667 0.333 0.603  0.39
27 Ni 0.626 0.672 0.250  0.43
28 Ni 0.332 0.166 0.020  0.41
29 Ni 0.834 0.668 0.480  0.41
30 Ni 0.374 0.328 0.750  0.43
31 Ni 0.374 0.045 0.750  0.42
32 Ni 0.000 0.500 0.000  0.46
33 Ni 0.328 0.374 0.250  0.43
34 Ni 0.000 0.500 0.500  0.47
35 Ni 0.500 0.000 0.500  0.46
36 Ni 0.500 0.500 0.500  0.47
37 Ni 0.667 0.333 0.897  0.38
38 Ni 0.834 0.668 0.020  0.41

SmNi3 | GGA-PBE | relaxed

Formation enthalpy at 0 K: -0.356 eV per atom

a = 8.678 Å, b = 8.678 Å, c = 8.678 Å
α = 33.46°, β = 33.46°, γ = 33.46°
Each line ends with the local moment (μB).
Positions (direct):
1 Ni 0.667 0.667 0.667  -0.07
2 Sm 0.861 0.861 0.861  0.02
3 Ni 0.333 0.333 0.333  -0.07
4 Ni 0.918 0.419 0.419  -0.07
5 Ni 0.500 0.500 0.500  -0.04
6 Ni 0.581 0.581 0.082  -0.07
7 Ni 0.419 0.918 0.419  -0.09
8 Ni 0.419 0.419 0.918  -0.07
9 Sm 0.000 0.000 0.000  0.02
10 Sm 0.139 0.139 0.139  0.02
11 Ni 0.082 0.581 0.581  -0.07
12 Ni 0.581 0.082 0.581  -0.09

SmNi3 | GGA-PBE | relaxed

Formation enthalpy at 0 K: -0.040 eV per atom

a = 4.395 Å, b = 4.395 Å, c = 4.395 Å
α = 60.00°, β = 60.00°, γ = 60.00°
Positions (direct):
1 Ni 0.000 0.000 0.000
2 Ni 0.250 0.250 0.250
3 Sm 0.750 0.750 0.750
4 Ni 0.500 0.500 0.500

SmNi2 | GGA-PBE | relaxed

Formation enthalpy at 0 K: 0.655 eV per atom

a = 5.018 Å, b = 5.018 Å, c = 4.967 Å
α = 90.00°, β = 90.00°, γ = 90.00°
Positions (direct):
1 Ni 0.343 0.343 0.000
2 Ni 0.657 0.657 0.000
3 Ni 0.157 0.843 0.500
4 Sm 0.500 0.500 0.500
5 Sm 0.000 0.000 0.000
6 Ni 0.843 0.157 0.500

SmNi | GGA-PBE | relaxed

Formation enthalpy at 0 K: 0.442 eV per atom

a = 4.362 Å, b = 4.362 Å, c = 4.362 Å
α = 60.00°, β = 60.00°, γ = 60.00°
Each line ends with the local moment (μB).
Positions (direct):
1 Ni 0.000 0.000 0.000  0.05
2 Sm 0.250 0.250 0.250  0.12

SmNiSn | GGA-PBE | relaxed

DFT total energy: -5.415 eV/atom

a = 7.383 Å, b = 7.383 Å, c = 4.001 Å
α = 90.00°, β = 90.00°, γ = 120.00°
Positions (direct):
1 Sn 0.252 0.000 0.000
2 Sn 0.000 0.252 0.000
3 Ni 0.333 0.667 0.000
4 Ni 0.000 0.000 0.500
5 Sn 0.748 0.748 0.000
6 Ni 0.667 0.333 0.000
7 Sm 0.411 0.411 0.500
8 Sm 0.589 0.000 0.500
9 Sm 0.000 0.589 0.500

Sm2NiSn4 | GGA-PBE | relaxed

DFT total energy: -5.056 eV/atom

a = 17.049 Å, b = 4.500 Å, c = 8.969 Å
α = 90.00°, β = 90.00°, γ = 90.00°
Positions (direct):
1 Sm 0.853 0.750 0.109
2 Sm 0.852 0.750 0.634
3 Sn 0.825 0.250 0.373
4 Ni 0.938 0.250 0.855
5 Sn 0.009 0.750 0.871
6 Sm 0.647 0.250 0.609
7 Sn 0.508 0.250 0.892
8 Ni 0.562 0.750 0.355
9 Sm 0.353 0.750 0.391
10 Sn 0.991 0.250 0.129
11 Sm 0.648 0.250 0.134
12 Sn 0.325 0.250 0.127
13 Sm 0.352 0.750 0.866
14 Sn 0.790 0.250 0.870
15 Sn 0.710 0.750 0.370
16 Sm 0.147 0.250 0.891
17 Sn 0.491 0.250 0.371
18 Ni 0.438 0.250 0.645
19 Sn 0.175 0.750 0.627
20 Sn 0.675 0.750 0.873
21 Sn 0.509 0.750 0.629
22 Sn 0.290 0.250 0.630
23 Ni 0.062 0.750 0.145
24 Sn 0.210 0.750 0.130
25 Sn 0.992 0.750 0.392
26 Sm 0.148 0.250 0.366
27 Sn 0.492 0.750 0.108
28 Sn 0.008 0.250 0.608

Sm3Ni4Sn4 | GGA-PBE | relaxed

DFT total energy: -5.317 eV/atom

a = 8.341 Å, b = 8.341 Å, c = 8.341 Å
α = 148.98°, β = 130.14°, γ = 59.89°
Positions (direct):
1 Sn 0.284 0.784 0.500
2 Ni 0.869 0.678 0.191
3 Ni 0.487 0.678 0.809
4 Ni 0.513 0.322 0.191
5 Ni 0.131 0.322 0.809
6 Sn 0.716 0.216 0.500
7 Sm 0.132 0.132 0.000
8 Sn 0.205 0.500 0.705
9 Sn 0.795 0.500 0.295
10 Sm 0.500 0.000 0.500
11 Sm 0.868 0.868 0.000

SmNiSn | GGA-PBE | relaxed

DFT total energy: -4.810 eV/atom

a = 8.382 Å, b = 8.382 Å, c = 3.372 Å
α = 90.00°, β = 90.00°, γ = 120.00°
Positions (direct):
1 Ni 0.000 0.647 0.000
2 Ni 0.647 0.000 0.000
3 Sn 0.667 0.333 0.500
4 Sn 0.000 0.000 0.000
5 Sm 0.000 0.297 0.500
6 Ni 0.353 0.353 0.000
7 Sm 0.703 0.703 0.500
8 Sm 0.297 0.000 0.500
9 Sn 0.333 0.667 0.500

SmNiSn | GGA-PBE | relaxed

DFT total energy: -5.247 eV/atom

a = 7.039 Å, b = 7.039 Å, c = 4.547 Å
α = 90.00°, β = 90.00°, γ = 120.00°
Positions (direct):
1 Ni 0.224 0.000 0.000
2 Ni 0.000 0.224 0.000
3 Sm 0.000 0.563 0.500
4 Ni 0.776 0.776 0.000
5 Sn 0.000 0.000 0.500
6 Sn 0.333 0.667 0.000
7 Sm 0.563 0.000 0.500
8 Sm 0.437 0.437 0.500
9 Sn 0.667 0.333 0.000

SmNiSn | GGA-PBE | relaxed

DFT total energy: -5.417 eV/atom

a = 7.340 Å, b = 4.536 Å, c = 7.699 Å
α = 90.00°, β = 90.00°, γ = 90.00°
Positions (direct):
1 Ni 0.695 0.750 0.414
2 Ni 0.805 0.250 0.914
3 Sn 0.687 0.250 0.587
4 Sn 0.313 0.750 0.413
5 Sn 0.813 0.750 0.087
6 Ni 0.305 0.250 0.586
7 Sm 0.484 0.750 0.800
8 Sm 0.984 0.750 0.700
9 Ni 0.195 0.750 0.086
10 Sn 0.187 0.250 0.913
11 Sm 0.016 0.250 0.300
12 Sm 0.516 0.250 0.200

TbSmNi2Sn | GGA-PBE | relaxed

DFT total energy: -5.481 eV/atom

a = 3.687 Å, b = 7.294 Å, c = 7.294 Å
α = 32.22°, β = 90.00°, γ = 90.00°
Positions (direct):
1 Sn 0.000 0.001 0.001
2 Sm 0.500 0.364 0.364
3 Ni 0.000 0.197 0.197
4 Ni 0.000 0.801 0.801
5 Tb 0.500 0.636 0.636

SmYNi2Sn | GGA-PBE | relaxed

DFT total energy: -5.849 eV/atom

a = 3.699 Å, b = 7.288 Å, c = 7.288 Å
α = 32.25°, β = 90.00°, γ = 90.00°
Positions (direct):
1 Ni 0.000 0.198 0.198
2 Sm 0.500 0.363 0.363
3 Y 0.500 0.636 0.636
4 Ni 0.000 0.801 0.801
5 Sn 0.000 0.001 0.001

SrSmNi | GGA-PBE | relaxed

DFT total energy: -3.296 eV/atom

a = 4.878 Å, b = 4.878 Å, c = 4.878 Å
α = 60.00°, β = 60.00°, γ = 60.00°
Positions (direct):
1 Sm 0.000 0.000 0.000
2 Ni 0.250 0.250 0.250
3 Sr 0.750 0.750 0.750

Tb2SmNi9 | GGA-PBE | relaxed

Formation enthalpy at 0 K: -0.394 eV per atom

a = 8.622 Å, b = 8.622 Å, c = 8.622 Å
α = 33.51°, β = 33.51°, γ = 33.51°
Each line ends with the local moment (μB).
Positions (direct):
1 Ni 0.583 0.583 0.081  -0.09
2 Ni 0.919 0.417 0.417  -0.08
3 Ni 0.500 0.500 0.500  -0.06
4 Ni 0.417 0.417 0.919  -0.09
5 Ni 0.333 0.333 0.333  -0.09
6 Tb 0.861 0.861 0.861  0.03
7 Ni 0.667 0.667 0.667  -0.09
8 Ni 0.081 0.583 0.583  -0.08
9 Tb 0.139 0.139 0.139  0.03
10 Sm 0.000 0.000 0.000  0.02
11 Ni 0.583 0.081 0.583  -0.10
12 Ni 0.417 0.919 0.417  -0.10

TbSmNi | GGA-PBE | relaxed

Formation enthalpy at 0 K: -0.111 eV per atom
Distance to the lowest polymorph of the same formula: 0 meV/atom

a = 4.825 Å, b = 4.825 Å, c = 4.825 Å
α = 60.00°, β = 60.00°, γ = 60.00°
Positions (direct):
1 Ni 0.000 0.000 0.000
2 Sm 0.250 0.250 0.250
3 Tb 0.750 0.750 0.750

Tb4Sm4Ni13 | GGA-PBE | relaxed

Formation enthalpy at 0 K: 0.235 eV per atom

a = 9.748 Å, b = 9.748 Å, c = 4.690 Å
α = 90.00°, β = 90.00°, γ = 106.46°
Positions (direct):
1 Sm 0.142 0.858 0.000
2 Sm 0.858 0.142 0.000
3 Tb 0.296 0.704 0.500
4 Ni 0.000 0.000 0.500
5 Tb 0.704 0.296 0.500
6 Ni 0.746 0.905 0.500
7 Ni 0.000 0.500 0.000
8 Sm 0.334 0.334 0.000
9 Ni 0.888 0.888 0.000
10 Tb 0.000 0.500 0.500
11 Tb 0.500 0.000 0.500
12 Ni 0.695 0.543 0.500
13 Ni 0.095 0.254 0.500
14 Ni 0.305 0.457 0.500
15 Sm 0.666 0.666 0.000
16 Ni 0.905 0.746 0.500
17 Ni 0.112 0.112 0.000
18 Ni 0.457 0.305 0.500
19 Ni 0.500 0.000 0.000
20 Ni 0.254 0.095 0.500
21 Ni 0.543 0.695 0.500

TbSmNi4 | GGA-PBE | relaxed

Formation enthalpy at 0 K: -0.402 eV per atom
Distance to the lowest polymorph of the same formula: 0 meV/atom

a = 5.102 Å, b = 5.102 Å, c = 5.102 Å
α = 60.00°, β = 60.00°, γ = 60.00°
Positions (direct):
1 Ni 0.375 0.876 0.375
2 Ni 0.876 0.375 0.375
3 Ni 0.375 0.375 0.876
4 Sm 0.750 0.750 0.750
5 Tb 0.000 0.000 0.000
6 Ni 0.375 0.375 0.375

TbSmNi | GGA-PBE | relaxed

Formation enthalpy at 0 K: 0.058 eV per atom
Distance to the lowest polymorph of the same formula: 169 meV/atom

a = 4.569 Å, b = 7.251 Å, c = 7.251 Å
α = 119.98°, β = 90.00°, γ = 90.00°
Positions (direct):
1 Sm 0.500 0.552 0.000
2 Tb 0.500 0.000 0.000
3 Sm 0.500 0.447 0.447
4 Sm 0.500 0.000 0.552
5 Ni 0.000 0.758 0.758
6 Tb 0.000 0.334 0.667
7 Tb 0.000 0.667 0.334
8 Ni 0.000 0.243 0.000
9 Ni 0.000 0.000 0.243